<i>
# PrDy2Zn2

PrDy2Zn2 after structural relaxation (PBE, the Alexandria database).

The structure belongs to space group P2_1/m (No. 11); the cell edges are 3.648, 5.260 and 13.469 Å and the angles 90.00°, 97.80° and 90.00°. The asymmetric unit holds Pr at (0.145, 0.250, 0.286), Dy at (0.047, 0.750, 0.093), Dy at (0.232, 0.750, 0.465), Zn at (0.359, 0.250, 0.719) and Zn at (0.454, 0.750, 0.909).

The value obtained for the density of states at the Fermi level is 10.864 states/eV per cell. The mass density comes out at 7.740 Mg/m³.

=====

<ii>
# PrDy2Zn2

PrDy2Zn2 after structural relaxation (PBE, the Alexandria database).

The structure belongs to space group Cmc2_1 (No. 36); the cell edges are 5.259, 15.458 and 6.287 Å and the angles 90.00°, 90.00° and 90.00°. The asymmetric unit holds Pr at (0.000, 0.085, 0.000), Dy at (0.000, 0.298, 0.764), Dy at (0.000, 0.459, 0.142), Zn at (0.000, 0.129, 0.495) and Zn at (0.000, 0.282, 0.271).

The value obtained for the density of states at the Fermi level is 18.792 states/eV per cell. The mass density comes out at 7.755 Mg/m³.

=====

Q: Which of them is the least stable? A: <ii>.

=====

<i>
# Pr2DyZn

Pr2DyZn after structural relaxation (PBE, the Alexandria database).

The structure belongs to space group P4/mmm (No. 123); the cell edges are 3.691, 3.691 and 8.783 Å and the angles 90.00°, 90.00° and 90.00°. The asymmetric unit holds Pr at (0.000, 0.000, 0.212), Dy at (0.500, 0.500, 0.500) and Zn at (0.500, 0.500, 0.000).

The value obtained for the density of states at the Fermi level is 4.009 states/eV per cell. The mass density comes out at 7.073 Mg/m³.

=====

<ii>
# Pr2DyZn

Pr2DyZn after structural relaxation (PBE, the Alexandria database).

The structure belongs to space group Fm-3m (No. 225); the cell edges are 7.759, 7.759 and 7.759 Å and the angles 90.00°, 90.00° and 90.00°. The asymmetric unit holds Pr at (0.250, 0.250, 0.250), Dy at (0.000, 0.000, 0.000) and Zn at (0.000, 0.000, 0.500).

The value obtained for the density of states at the Fermi level is 22.398 states/eV per cell. The mass density comes out at 7.250 Mg/m³.

=====

<iii>
# Pr2DyZn

Pr2DyZn after structural relaxation (PBE, the Alexandria database).

The structure belongs to space group R3m (No. 160, hexagonal axes); the cell edges are 3.6884, 3.6884 and 31.7002 Å and the angles 90.00°, 90.00° and 120.00°. The asymmetric unit holds Pr at (0.0000, 0.0000, 0.0000), Pr at (0.0000, 0.0000, 0.1866), Dy at (0.0000, 0.0000, 0.4264) and Zn at (0.0000, 0.0000, 0.5931).

The value obtained for the density of states at the Fermi level is 15.154 states/eV per cell. The mass density comes out at 6.799 Mg/m³.

=====

<iv>
# Pr2DyZn

Pr2DyZn after structural relaxation (PBE, the Alexandria database).

The structure belongs to space group I4/mmm (No. 139); the cell edges are 5.182, 5.182 and 17.563 Å and the angles 90.00°, 90.00° and 90.00°. The asymmetric unit holds Pr at (0.000, 0.000, 0.145), Pr at (0.000, 0.500, 0.000), Dy at (0.000, 0.000, 0.349) and Zn at (0.000, 0.500, 0.250).

The value obtained for the density of states at the Fermi level is 17.380 states/eV per cell. The mass density comes out at 7.178 Mg/m³.

=====

Q: Which of them is the least stable? A: <ii>.

=====

<i>
# PrDy4Zn

PrDy4Zn after structural relaxation (PBE, the Alexandria database).

The structure belongs to space group C2/c (No. 15); the cell edges are 8.902, 13.626 and 6.221 Å and the angles 90.00°, 108.99° and 90.00°. The asymmetric unit holds Pr at (0.000, 0.102, 0.250), Dy at (0.105, 0.320, 0.553), Dy at (0.226, 0.108, 0.869) and Zn at (0.000, 0.500, 0.250).

The value obtained for the density of states at the Fermi level is 34.823 states/eV per cell. The mass density comes out at 7.972 Mg/m³.

=====

<ii>
# PrDy4Zn

PrDy4Zn after structural relaxation (PBE, the Alexandria database).

The structure belongs to space group P4/mmm (No. 123); the cell edges are 3.585, 3.585 and 13.727 Å and the angles 90.00°, 90.00° and 90.00°. The asymmetric unit holds Pr at (0.000, 0.000, 0.000), Dy at (0.000, 0.000, 0.372), Dy at (0.500, 0.500, 0.188) and Zn at (0.500, 0.500, 0.500).

The value obtained for the density of states at the Fermi level is 8.064 states/eV per cell. The mass density comes out at 8.061 Mg/m³.

=====

Q: Which of them is the least stable? A: <i>.